Entry 1:
A plane-wave DFT calculation with meta-GGA SCAN was carried out for a crystal of Y2C relaxed with PBEsol.

The structure in CIF format:
```
data_Y2C
_cell_length_a 3.5425
_cell_length_b 3.5425
_cell_length_c 12.4756
_cell_angle_alpha 90.00
_cell_angle_beta 90.00
_cell_angle_gamma 120.00
_symmetry_space_group_name_H-M 'P 63/m m c'
_symmetry_Int_Tables_number 194
_symmetry_space_group_name_Hall '-P 6c 2c'
loop_
_atom_site_label
_atom_site_type_symbol
_atom_site_fract_x
_atom_site_fract_y
_atom_site_fract_z
Y1 Y 0.3333 0.6667 0.1068
C1 C 0.0000 0.0000 0.0000
```

Computed properties:
energy of formation	-399	meV/atom
total energy	-22.33	eV per atom
D(E_F)	1.341	states/eV/f.u.

Entry 2:
A plane-wave DFT calculation with meta-GGA SCAN was carried out for a crystal of AlCdSnS2 relaxed with PBEsol.

The structure in CIF format:
```
data_AlCdSnS2
_cell_length_a 4.880
_cell_length_b 4.880
_cell_length_c 5.486
_cell_angle_alpha 90.00
_cell_angle_beta 90.00
_cell_angle_gamma 90.00
_symmetry_space_group_name_H-M 'P 4/m m m'
_symmetry_Int_Tables_number 123
_symmetry_space_group_name_Hall '-P 4 2'
loop_
_atom_site_label
_atom_site_type_symbol
_atom_site_fract_x
_atom_site_fract_y
_atom_site_fract_z
Al1 Al 0.000 0.000 0.000
Cd1 Cd 0.500 0.500 0.500
Sn1 Sn 0.500 0.500 0.000
S1 S 0.000 0.500 0.500
```

Computed properties:
total energy	-18.01	eV per atom
D(E_F)	4.128	states/eV/f.u.
formation energy from raw total energies	0.66	eV/atom

Entry 3:
A plane-wave DFT calculation with meta-GGA SCAN was carried out for a crystal of ZrBeZn2 relaxed with PBEsol.

The structure in CIF format:
```
data_ZrBeZn2
_cell_length_a 2.799
_cell_length_b 2.983
_cell_length_c 6.799
_cell_angle_alpha 90.00
_cell_angle_beta 90.00
_cell_angle_gamma 90.00
_symmetry_space_group_name_H-M 'P m m m'
_symmetry_Int_Tables_number 47
loop_
_symmetry_equiv_pos_as_xyz
'x,y,z'
'-x,-y,-z'
'-x,-y,z'
'x,y,-z'
'x,-y,-z'
'-x,y,z'
'-x,y,-z'
'x,-y,z'
loop_
_atom_site_label
_atom_site_type_symbol
_atom_site_fract_x
_atom_site_fract_y
_atom_site_fract_z
Zr1 Zr 0.000 0.000 0.000
Be1 Be 0.000 0.000 0.500
Zn1 Zn 0.500 0.500 0.302
```

Computed properties:
energy of formation	-155	meV/atom
total energy	-15.68	eV per atom
D(E_F)	1.560	states/eV/f.u.

Entry 4:
A plane-wave DFT calculation with meta-GGA SCAN was carried out for a crystal of KScMo3 relaxed with PBEsol.

The structure in CIF format:
```
data_KScMo3
_cell_length_a 4.766
_cell_length_b 4.766
_cell_length_c 4.766
_cell_angle_alpha 90.00
_cell_angle_beta 90.00
_cell_angle_gamma 90.00
_symmetry_space_group_name_H-M 'P m -3 m'
_symmetry_Int_Tables_number 221
_symmetry_space_group_name_Hall '-P 4 2 3'
loop_
_atom_site_label
_atom_site_type_symbol
_atom_site_fract_x
_atom_site_fract_y
_atom_site_fract_z
K1 K 0.000 0.000 0.000
Sc1 Sc 0.500 0.500 0.500
Mo1 Mo 0.000 0.500 0.500
```

Computed properties:
energy of formation	2380	meV/atom
total energy	-23.06	eV per atom
D(E_F)	8.173	states/eV/f.u.

Entry 5:
A plane-wave DFT calculation with meta-GGA SCAN was carried out for a crystal of Si2HF relaxed with PBEsol.

The structure in CIF format:
```
data_Si2HF
_cell_length_a 4.669
_cell_length_b 4.669
_cell_length_c 9.002
_cell_angle_alpha 90.00
_cell_angle_beta 90.00
_cell_angle_gamma 90.00
_symmetry_space_group_name_H-M 'I -4 2 d'
_symmetry_Int_Tables_number 122
_symmetry_space_group_name_Hall 'I -4 2bw'
loop_
_atom_site_label
_atom_site_type_symbol
_atom_site_fract_x
_atom_site_fract_y
_atom_site_fract_z
Si1 Si 0.151 0.250 0.125
H1 H 0.000 0.000 0.000
F1 F 0.000 0.000 0.500
```

Computed properties:
total energy	-6.47	eV per atom
D(E_F)	0.578	states/eV/f.u.

Entry 6:
A plane-wave DFT calculation with meta-GGA SCAN was carried out for a crystal of AlSn3Os relaxed with PBEsol.

The structure in CIF format:
```
data_AlSn3Os
_cell_length_a 5.015
_cell_length_b 5.015
_cell_length_c 5.015
_cell_angle_alpha 90.00
_cell_angle_beta 90.00
_cell_angle_gamma 90.00
_symmetry_space_group_name_H-M 'P m -3 m'
_symmetry_Int_Tables_number 221
_symmetry_space_group_name_Hall '-P 4 2 3'
loop_
_atom_site_label
_atom_site_type_symbol
_atom_site_fract_x
_atom_site_fract_y
_atom_site_fract_z
Al1 Al 0.000 0.000 0.000
Sn1 Sn 0.000 0.000 0.500
Os1 Os 0.500 0.500 0.500
```

Computed properties:
energy of formation	1569	meV/atom
total energy	-35.91	eV per atom
D(E_F)	3.662	states/eV/f.u.

Entry 7:
A plane-wave DFT calculation with meta-GGA SCAN was carried out for a crystal of BaHgTe2 relaxed with PBEsol.

The structure in CIF format:
```
data_BaHgTe2
_cell_length_a 13.093
_cell_length_b 4.594
_cell_length_c 5.041
_cell_angle_alpha 90.00
_cell_angle_beta 92.80
_cell_angle_gamma 90.00
_symmetry_space_group_name_H-M 'C 1 m 1'
_symmetry_Int_Tables_number 8
loop_
_symmetry_equiv_pos_as_xyz
'x,y,z'
'x,-y,z'
'x+1/2,y+1/2,z'
'x+1/2,-y+1/2,z'
loop_
_atom_site_label
_atom_site_type_symbol
_atom_site_fract_x
_atom_site_fract_y
_atom_site_fract_z
Ba1 Ba 0.000 0.000 0.000
Hg1 Hg 0.282 0.000 0.201
Te1 Te 0.211 0.500 0.931
Te2 Te 0.462 0.000 0.497
```

Computed properties:
total energy	-46.57	eV per atom
formation energy from raw total energies	-1.01	eV/atom

Entry 8:
A plane-wave DFT calculation with meta-GGA SCAN was carried out for a crystal of Ta2MnCu relaxed with PBEsol.

The structure in CIF format:
```
data_Ta2MnCu
_cell_length_a 6.109
_cell_length_b 6.109
_cell_length_c 6.109
_cell_angle_alpha 90.00
_cell_angle_beta 90.00
_cell_angle_gamma 90.00
_symmetry_space_group_name_H-M 'F -4 3 m'
_symmetry_Int_Tables_number 216
_symmetry_space_group_name_Hall 'F -4 2 3'
loop_
_atom_site_label
_atom_site_type_symbol
_atom_site_fract_x
_atom_site_fract_y
_atom_site_fract_z
Ta1 Ta 0.000 0.000 0.000
Ta2 Ta 0.250 0.250 0.250
Mn1 Mn 0.250 0.250 0.750
Cu1 Cu 0.000 0.000 0.500
```

Computed properties:
energy of formation	295	meV/atom
total energy	-41.36	eV per atom
D(E_F)	1.698	states/eV/f.u.

Entry 9:
A plane-wave DFT calculation with meta-GGA SCAN was carried out for a crystal of KTa5Pb2O15 relaxed with PBEsol.

The structure in CIF format:
```
data_KTa5Pb2O15
_cell_length_a 3.929
_cell_length_b 12.668
_cell_length_c 12.669
_cell_angle_alpha 90.00
_cell_angle_beta 90.00
_cell_angle_gamma 90.00
_symmetry_space_group_name_H-M 'P m c 21'
_symmetry_Int_Tables_number 26
loop_
_symmetry_equiv_pos_as_xyz
'x,y,z'
'-x,-y,z+1/2'
'-x,y,z'
'x,-y,z+1/2'
loop_
_atom_site_label
_atom_site_type_symbol
_atom_site_fract_x
_atom_site_fract_y
_atom_site_fract_z
K1 K 0.000 0.082 0.000
Ta1 Ta 0.500 0.034 0.256
Ta2 Ta 0.500 0.171 0.545
Ta3 Ta 0.500 0.253 0.827
Ta4 Ta 0.500 0.319 0.117
Ta5 Ta 0.500 0.458 0.416
Pb1 Pb 0.000 0.238 0.335
Pb2 Pb 0.000 0.470 0.708
O1 O 0.000 0.049 0.250
O2 O 0.000 0.171 0.525
O3 O 0.000 0.257 0.825
O4 O 0.000 0.334 0.124
O5 O 0.000 0.457 0.394
O6 O 0.500 0.035 0.614
O7 O 0.500 0.097 0.829
O8 O 0.500 0.112 0.392
O9 O 0.500 0.185 0.188
O10 O 0.500 0.251 0.982
O11 O 0.500 0.252 0.670
O12 O 0.500 0.314 0.462
O13 O 0.500 0.399 0.256
O14 O 0.500 0.410 0.825
O15 O 0.500 0.468 0.045
```

Computed properties:
total energy	-28.24	eV per atom
D(E_F)	0.000	states/eV/f.u.
formation energy from raw total energies	-2.75	eV/atom

Entry 10:
A plane-wave DFT calculation with meta-GGA SCAN was carried out for a crystal of MgSb4Pb relaxed with PBEsol.

The structure in CIF format:
```
data_MgSb4Pb
_cell_length_a 8.814
_cell_length_b 8.814
_cell_length_c 8.814
_cell_angle_alpha 90.00
_cell_angle_beta 90.00
_cell_angle_gamma 90.00
_symmetry_space_group_name_H-M 'F -4 3 m'
_symmetry_Int_Tables_number 216
_symmetry_space_group_name_Hall 'F -4 2 3'
loop_
_atom_site_label
_atom_site_type_symbol
_atom_site_fract_x
_atom_site_fract_y
_atom_site_fract_z
Mg1 Mg 0.000 0.000 0.000
Sb1 Sb 0.125 0.125 0.375
Pb1 Pb 0.250 0.250 0.750
```

Computed properties:
total energy	-38.04	eV per atom
D(E_F)	3.816	states/eV/f.u.
formation energy from raw total energies	0.26	eV/atom

Number 1: spin magnetization 0.853 μB per cell. Number 2: spin magnetization 0.000 μB per cell. Number 3: spin magnetization 0.000 μB per cell. Number 4: spin magnetization 0.000 μB per cell. Number 5: spin magnetization 0.000 μB per cell. Number 6: spin magnetization 1.948 μB per cell. Number 7: spin magnetization 0.000 μB per cell. Number 8: spin magnetization 0.001 μB per cell. Number 9: spin magnetization 0.000 μB per cell. Number 10: spin magnetization 0.000 μB per cell.